DFT (PBE) results for GaMo3Os after structural relaxation.

The space group is Pm-3m (No. 221) and the conventional cell measures 4.746, 4.746 and 4.746 Å, with angles of 90.00, 90.00 and 90.00 degrees. Symmetry generates all atoms from Ga at (0.000, 0.000, 0.000), Mo at (0.000, 0.500, 0.500) and Os at (0.500, 0.500, 0.500).

The energy relative to the elements comes out at 1.57 eV per atom. The value obtained for the energy relative to the lowest polymorph listed for this composition is 0.0 meV per atom. The value obtained for the volume is 21.38 Å³/atom.